Record 1
A geometry-optimized CePm2Y7 structure. Source: the Alexandria database, functional PBE.

```
CePm2Y7
1.0
4.335 -8.816 0.000
4.335 8.816 0.000
0.000 0.000 5.149
Ce Pm Y
1 2 7
direct
0.000 0.000 0.000
0.298 0.702 0.500
0.702 0.298 0.500
0.074 0.286 0.500
0.197 0.803 0.000
0.286 0.074 0.500
0.500 0.500 0.500
0.714 0.926 0.500
0.803 0.197 0.000
0.926 0.714 0.500
```

Properties
Space-group type ... No. 65
Magnetic moment ... 1.32 μB per formula unit

***

Record 2
A geometry-optimized CePm3Y4 structure. Source: the Alexandria database, functional PBE.

```
CePm3Y4
1.0
12.721 -1.725 0.000
12.721 1.725 0.000
-0.555 0.000 6.098
Ce Pm Y
1 3 4
direct
0.000 0.000 0.000
0.355 0.355 0.253
0.500 0.500 0.500
0.645 0.645 0.747
0.221 0.221 0.237
0.394 0.394 0.770
0.606 0.606 0.230
0.779 0.779 0.763
```

Properties
Space-group type ... No. 12
Magnetic moment ... 0.91 μB per formula unit

***

Record 3
A geometry-optimized CePm2Y4 structure. Source: the Alexandria database, functional PBE.

```
CePm2Y4
1.0
3.138 -1.812 0.000
3.138 1.812 0.000
-2.097 0.000 20.286
Ce Pm Y
1 2 4
direct
0.000 0.000 0.000
0.810 0.810 0.427
0.905 0.905 0.714
0.095 0.095 0.282
0.192 0.192 0.571
0.619 0.619 0.858
0.714 0.714 0.142
```

Properties
Space-group type ... No. 8
Magnetic moment ... 0.98 μB per formula unit

***

no.,total energy (eV per atom),energy of formation from the pure elements (eV per atom)
1,-5.348,0.72
2,-5.498,0.26
3,-5.860,0.04